VASP calculation (GGA-PBE) on crystalline YAgIO2 at its relaxed geometry.

Values from the calculation:
DOS at the Fermi energy	0.686	states/eV per atom
total DFT energy (no corrections)	-26.82	eV per cell
M_tot	0.0	μB/f.u.
space-group type	P4/mmm
E above lowest polymorph	0	meV/atom

a b c (Å): 4.3025 4.3025 6.6451
angles (deg): 90.00 90.00 90.00
With the nearest neighbours (Å) after each atom.
Atoms (fractional coordinates):
I: 0.0000 0.0000 0.5000  4 Ag 3.04, 2 Y 3.32
O: 0.5000 0.0000 0.0000  2 Y 2.15
O: 0.0000 0.5000 0.0000  2 Y 2.15
Ag: 0.5000 0.5000 0.5000  4 I 3.04
Y: 0.0000 0.0000 0.0000  4 O 2.15

***

VASP calculation (GGA-PBE) on crystalline YAgI4O12 at its relaxed geometry.

Values from the calculation:
DOS at the Fermi energy	0.000	states/eV per atom
total DFT energy (no corrections)	-357.19	eV per cell
M_tot	0.0	μB/f.u.
space-group type	Cc

a b c (Å): 5.6385 12.6999 16.2096
angles (deg): 90.82 100.02 90.00
With the nearest neighbours (Å) after each atom.
Atoms (fractional coordinates):
I: 0.6768 0.7596 0.8818  3 O 1.85
I: 0.2050 0.2596 0.8818  3 O 1.85
I: 0.9650 0.9711 0.3246  3 O 1.83-1.85
I: 0.0327 0.0763 0.5984  3 O 1.84-1.86
I: 0.3595 0.4711 0.3246  3 O 1.83-1.85
I: 0.5657 0.5763 0.5984  3 O 1.84-1.86
I: 0.7231 0.0296 0.8040  3 O 1.83-1.86
I: 0.5122 0.3074 0.6757  3 O 1.83-1.86
I: 0.6873 0.4642 0.9945  3 O 1.83-1.87
I: 0.8378 0.6272 0.2046  3 O 1.84-1.87
I: 0.5415 0.8808 0.4821  3 O 1.82-1.86
I: 0.3071 0.9642 0.9945  3 O 1.83-1.87
I: 0.1634 0.8074 0.6757  3 O 1.83-1.86
I: 0.9406 0.3808 0.4821  3 O 1.82-1.86
I: 0.0809 0.5296 0.8040  3 O 1.83-1.86
I: 0.3668 0.1272 0.2046  3 O 1.84-1.87
O: 0.5584 0.6868 0.1488  1 I 1.84
O: 0.1351 0.9238 0.2444  1 I 1.84
O: 0.1406 0.0413 0.0649  1 I 1.87
O: 0.1217 0.3120 0.4119  1 I 1.86
O: 0.4247 0.5095 0.0392  1 I 1.85
O: 0.0027 0.5897 0.9011  1 I 1.86
O: 0.1932 0.0510 0.5092  1 I 1.86
O: 0.0755 0.1087 0.3330  1 I 1.85
O: 0.5036 0.8819 0.8881  1 I 1.85
O: 0.6145 0.0095 0.0392  1 I 1.85
O: 0.5904 0.1868 0.1488  1 I 1.84
O: 0.2574 0.6087 0.3330  1 I 1.85
O: 0.2387 0.7521 0.5766  1 I 1.86
O: 0.3394 0.9292 0.6817  1 I 1.83
O: 0.8483 0.1111 0.7296  1 I 1.83
O: 0.3423 0.4292 0.6817  1 I 1.83
O: 0.7503 0.6642 0.5462  1 I 1.84
O: 0.2902 0.8120 0.4119  1 I 1.86
O: 0.7019 0.3437 0.0557  1 I 1.83
O: 0.8788 0.5023 0.4215  1 I 1.84
O: 0.8984 0.0897 0.9011  1 I 1.86
O: 0.9242 0.5413 0.0649  1 I 1.87
O: 0.1113 0.2150 0.1593  1 I 1.87
O: 0.8978 0.9086 0.8003  1 I 1.83
O: 0.6806 0.9813 0.2507  1 I 1.83
O: 0.4851 0.2028 0.3025  1 I 1.86
O: 0.3845 0.3819 0.8881  1 I 1.85
O: 0.5701 0.4813 0.2507  1 I 1.83
O: 0.4418 0.1695 0.9325  1 I 1.85
O: 0.9171 0.7860 0.9734  1 I 1.85
O: 0.3378 0.2521 0.5766  1 I 1.86
O: 0.3161 0.5510 0.5092  1 I 1.86
O: 0.7839 0.8211 0.4364  1 I 1.82
O: 0.3538 0.8437 0.0557  1 I 1.83
O: 0.6524 0.3211 0.4364  1 I 1.82
O: 0.7959 0.1642 0.5462  1 I 1.84
O: 0.0481 0.7150 0.1593  1 I 1.87
O: 0.5427 0.0023 0.4215  1 I 1.84
O: 0.9025 0.4086 0.8003  1 I 1.83
O: 0.7284 0.4515 0.5898  1 I 1.85
O: 0.8813 0.6111 0.7296  1 I 1.83
O: 0.4907 0.6695 0.9325  1 I 1.85
O: 0.1094 0.4238 0.2444  1 I 1.84
O: 0.8614 0.9515 0.5898  1 I 1.85
O: 0.0563 0.2860 0.9734  1 I 1.85
O: 0.3673 0.7241 0.7472  1 I 1.83
O: 0.8174 0.7028 0.3025  1 I 1.86
O: 0.3799 0.2241 0.7472  1 I 1.83
Ag: 0.4207 0.7882 0.2672  4 O 2.35-2.59
Ag: 0.2977 0.3765 0.1224  3 O 2.36-2.47
Ag: 0.8247 0.8765 0.1224  3 O 2.36-2.47
Ag: 0.8466 0.2882 0.2672  4 O 2.35-2.59
Y: 0.0325 0.6745 0.4448  8 O 2.32-2.52
Y: 0.8134 0.1687 0.0342  8 O 2.32-2.49
Y: 0.4123 0.1745 0.4448  8 O 2.32-2.52
Y: 0.2208 0.6687 0.0342  8 O 2.32-2.49

***

VASP calculation (GGA-PBE) on crystalline YAgIO2 at its relaxed geometry.

Values from the calculation:
DOS at the Fermi energy	0.401	states/eV per atom
total DFT energy (no corrections)	-22.15	eV per cell
M_tot	0.0	μB/f.u.
space-group type	P4/mmm
E above lowest polymorph	933	meV/atom

a b c (Å): 4.3842 4.3842 5.1096
angles (deg): 90.00 90.00 90.00
With the nearest neighbours (Å) after each atom.
Atoms (fractional coordinates):
Ag: 0.0000 0.0000 0.0000  4 O 2.19
Y: 0.5000 0.5000 0.5000  4 I 3.10, 8 O 3.37
O: 0.5000 0.0000 0.0000  2 Ag 2.19
O: 0.0000 0.5000 0.0000  2 Ag 2.19
I: 0.0000 0.0000 0.5000  2 Ag 2.55

***

VASP calculation (GGA-PBE) on crystalline ZnAgI2O at its relaxed geometry.

Values from the calculation:
DOS at the Fermi energy	1.577	states/eV per atom
total DFT energy (no corrections)	-10.58	eV per cell
M_tot	0.0	μB/f.u.
space-group type	P4/mmm
E above lowest polymorph	436	meV/atom

a b c (Å): 5.7389 5.7389 4.0364
angles (deg): 90.00 90.00 90.00
With the nearest neighbours (Å) after each atom.
Atoms (fractional coordinates):
Ag: 0.0000 0.0000 0.0000  2 O 2.02
Zn: 0.5000 0.5000 0.5000  8 I 3.51
I: 0.5000 0.0000 0.0000  2 Ag 2.87
I: 0.0000 0.5000 0.0000  2 Ag 2.87
O: 0.0000 0.0000 0.5000  2 Ag 2.02

***

VASP calculation (GGA-PBE) on crystalline ZnAgI2O at its relaxed geometry.

Values from the calculation:
DOS at the Fermi energy	1.131	states/eV per atom
total DFT energy (no corrections)	-12.76	eV per cell
M_tot	0.5	μB/f.u.
space-group type	P4/mmm
E above lowest polymorph	0	meV/atom

a b c (Å): 6.0154 6.0154 3.5942
angles (deg): 90.00 90.00 90.00
With the nearest neighbours (Å) after each atom.
Atoms (fractional coordinates):
I: 0.0000 0.5000 0.0000  2 Zn 3.01
I: 0.5000 0.0000 0.0000  2 Zn 3.01
Ag: 0.5000 0.5000 0.5000  8 I 3.50, 2 Ag 3.59
Zn: 0.0000 0.0000 0.0000  2 O 1.80
O: 0.0000 0.0000 0.5000  2 Zn 1.80

***

VASP calculation (GGA-PBE) on crystalline ZnAg2IO6 at its relaxed geometry.

Values from the calculation:
DOS at the Fermi energy	0.869	states/eV per atom
total DFT energy (no corrections)	-41.43	eV per cell
M_tot	0.7	μB/f.u.
space-group type	C2/m

a b c (Å): 5.5467 5.6708 5.5867
angles (deg): 120.50 120.19 90.00
With the nearest neighbours (Å) after each atom.
Atoms (fractional coordinates):
O: 0.8276 0.8002 0.1215  1 I 1.94, 1 Zn 2.14
O: 0.1724 0.6787 0.8785  1 I 1.94, 1 Zn 2.14
O: 0.3470 0.7330 0.4661  1 I 1.92
O: 0.8276 0.3213 0.1215  1 I 1.94, 1 Zn 2.14
O: 0.1724 0.1998 0.8785  1 I 1.94, 1 Zn 2.14
O: 0.6530 0.2670 0.5339  1 I 1.92
Ag: 0.2178 0.2410 0.4820  5 O 2.28-2.47
Ag: 0.7822 0.7590 0.5180  5 O 2.28-2.47
Zn: 0.5000 0.0000 0.0000  6 O 2.14-2.19
I: 0.0000 0.5000 0.0000  6 O 1.92-1.94

***

VASP calculation (GGA-PBE) on crystalline ZnAgIO2 at its relaxed geometry.

Values from the calculation:
DOS at the Fermi energy	0.909	states/eV per atom
total DFT energy (no corrections)	-13.71	eV per cell
M_tot	1.3	μB/f.u.
space-group type	P4/mmm
E above lowest polymorph	350	meV/atom

a b c (Å): 4.0317 4.0317 6.8840
angles (deg): 90.00 90.00 90.00
With the nearest neighbours (Å) after each atom.
Atoms (fractional coordinates):
I: 0.0000 0.0000 0.5000  4 Zn 2.85
Ag: 0.0000 0.0000 0.0000  4 O 2.02
Zn: 0.5000 0.5000 0.5000  4 I 2.85
O: 0.5000 0.0000 0.0000  2 Ag 2.02
O: 0.0000 0.5000 0.0000  2 Ag 2.02

***

VASP calculation (GGA-PBE) on crystalline ZnAgIO2 at its relaxed geometry.

Values from the calculation:
DOS at the Fermi energy	1.607	states/eV per atom
total DFT energy (no corrections)	-15.46	eV per cell
M_tot	0.0	μB/f.u.
space-group type	P4/mmm
E above lowest polymorph	0	meV/atom

a b c (Å): 3.9021 3.9021 6.7103
angles (deg): 90.00 90.00 90.00
With the nearest neighbours (Å) after each atom.
Atoms (fractional coordinates):
Ag: 0.5000 0.5000 0.5000  4 I 2.76
O: 0.5000 0.0000 0.0000  2 Zn 1.95
O: 0.0000 0.5000 0.0000  2 Zn 1.95
Zn: 0.0000 0.0000 0.0000  4 O 1.95
I: 0.0000 0.0000 0.5000  4 Ag 2.76